Here is a geometry-optimized Tb3PrEr2P6 structure from Alexandria via LeMat-Bulk. Energies are from PBE-GGA.

Values from the calculation:
Its crystal system is monoclinic. The spin magnetization comes out at 0.0 μB/cell. The value obtained for the energy relative to the elements is -19.0 eV/f.u. The density of states at the Fermi level comes out at 1.6 states/eV/f.u.

Cell lengths 6.997, 6.997, 6.998 Å; angles 99.59, 99.59, 120.00 degrees
Fractional positions:
Tb  0.000  0.000  0.000
Tb  0.335  0.665  0.000
Tb  0.665  0.335  0.000
Pr  0.500  0.500  0.500
Er  0.167  0.833  0.500
Er  0.833  0.167  0.500
P  0.075  0.416  0.249
P  0.243  0.243  0.750
P  0.416  0.075  0.249
P  0.584  0.925  0.751
P  0.757  0.757  0.250
P  0.925  0.584  0.751